Here is a geometry-optimized Er3Tm2Pb2 structure from the Alexandria database. Energies are from PBE.

ΔH_f (0 K): -279 meV/atom
E: -4.571 eV/atom
V: 29.6 Å³ per atom
size of the total moment: 0.001 μB per cell

a = 4.495 Å, b = 6.232 Å, c = 8.355 Å
α = 107.02°, β = 90.00°, γ = 111.14°
Fractional coordinates of all 7 atoms:
Er 0.500 0.000 0.000
Er 0.628 0.256 0.436
Er 0.372 0.744 0.564
Tm 0.877 0.755 0.236
Tm 0.123 0.245 0.764
Pb 0.822 0.643 0.815
Pb 0.178 0.357 0.185

=====

Here is a geometry-optimized Er5Tm12Pb2 structure from the Alexandria database. Energies are from PBE.

ΔH_f (0 K): -26 meV/atom
E: -4.441 eV/atom
V: 30.4 Å³ per atom
size of the total moment: 0.000 μB per cell

a = 9.374 Å, b = 8.879 Å, c = 8.161 Å
α = 91.34°, β = 90.00°, γ = 121.86°
Fractional coordinates of all 19 atoms:
Er 0.237 0.473 0.582
Er 0.315 0.630 0.000
Er 0.000 0.000 0.500
Er 0.685 0.370 0.000
Er 0.763 0.527 0.418
Tm 0.914 0.829 0.118
Tm 0.032 0.696 0.765
Tm 0.664 0.696 0.765
Tm 0.176 0.752 0.351
Tm 0.575 0.752 0.351
Tm 0.449 0.898 0.681
Tm 0.551 0.102 0.319
Tm 0.824 0.248 0.649
Tm 0.425 0.248 0.649
Tm 0.968 0.304 0.235
Tm 0.336 0.304 0.235
Tm 0.086 0.171 0.882
Pb 0.696 0.000 0.000
Pb 0.304 0.000 0.000